# 1
The following is a PBE-GGA calculation of a relaxed ZnB4As crystal, from OQMD via LeMat-Bulk.

Computed properties:
VASP energy = -4.916 eV per atom
SG = P6/mmm

a = 3.0521 Å, b = 3.0521 Å, c = 7.3431 Å
α = 90.00°, β = 90.00°, γ = 120.00°
With the nearest neighbours (Å) after each atom.
Fractional positions:
Zn 0.0000 0.0000 0.0000  12 B 2.45
B 0.3333 0.6667 0.2323  3 B 1.76
B 0.3333 0.6667 0.7677  3 B 1.76
B 0.6667 0.3333 0.2323  3 B 1.76
B 0.6667 0.3333 0.7677  3 B 1.76
As 0.0000 0.0000 0.5000  12 B 2.64

***

# 2
The following is a PBE-GGA calculation of a relaxed CsKAu crystal, from OQMD via LeMat-Bulk.

Computed properties:
VASP energy = -1.914 eV per atom
SG = F-43m

a = 5.9567 Å, b = 5.9567 Å, c = 5.9567 Å
α = 60.00°, β = 60.00°, γ = 60.00°
With the nearest neighbours (Å) after each atom.
Fractional positions:
Cs 0.0000 0.0000 0.0000  4 Au 3.65
K 0.5000 0.5000 0.5000  4 Au 3.65
Au 0.2500 0.2500 0.2500  4 K 3.65, 4 Cs 3.65

***

# 3
The following is a PBE-GGA calculation of a relaxed GdFe3B2 crystal, from OQMD via LeMat-Bulk.

Computed properties:
VASP energy = -7.482 eV per atom
SG = P6/mmm

a = 5.0490 Å, b = 5.0490 Å, c = 3.0833 Å
α = 90.00°, β = 90.00°, γ = 120.00°
With the nearest neighbours (Å) after each atom.
Fractional positions:
Gd 0.0000 0.0000 0.0000  6 B 2.92, 12 Fe 2.96, 2 Gd 3.08
Fe 0.0000 0.5000 0.5000  4 B 2.12
Fe 0.5000 0.0000 0.5000  4 B 2.12
Fe 0.5000 0.5000 0.5000  4 B 2.12
B 0.3333 0.6667 0.0000  6 Fe 2.12
B 0.6667 0.3333 0.0000  6 Fe 2.12

***

# 4
The following is a PBE-GGA calculation of a relaxed NbFe6Mo crystal, from OQMD via LeMat-Bulk.

Computed properties:
SG = Pmm2
Energy of formation from the pure elements = 89 meV per atom

a = 4.1296 Å, b = 5.0589 Å, c = 4.5756 Å
α = 90.00°, β = 90.00°, γ = 90.00°
With the nearest neighbours (Å) after each atom.
Fractional positions:
Nb 0.0000 0.0000 0.0000  12 Fe 2.54-2.68
Fe 0.0000 0.2583 0.4874  7 Fe 2.43-2.61, 2 Nb 2.58-2.68, 2 Mo 2.60
Fe 0.0000 0.5000 0.9462  6 Fe 2.43-2.53, 2 Nb 2.54, 2 Mo 2.54
Fe 0.0000 0.7417 0.4874  7 Fe 2.43-2.61, 2 Nb 2.58-2.68, 2 Mo 2.60
Fe 0.5000 0.0000 0.3333  6 Fe 2.40-2.54, 2 Mo 2.55, 2 Nb 2.57
Fe 0.5000 0.2530 0.7772  7 Fe 2.40-2.56, 2 Mo 2.58-2.63, 2 Nb 2.63
Fe 0.5000 0.7470 0.7772  7 Fe 2.40-2.56, 2 Mo 2.58-2.63, 2 Nb 2.63
Mo 0.5000 0.5000 0.2712  12 Fe 2.54-2.63